No. 1
This record from Alexandria via LeMat-Bulk describes a relaxed Ce2DyPt9 crystal. The functional is PBE.

Lattice parameters (Å, degrees): 4.1538 4.1538 12.4457 90.00 90.00 90.00
Fractional coordinates of all 12 atoms:
Pt1 0.5000 0.5000 0.6676
Ce1 0.0000 0.0000 0.3313
Pt2 0.5000 0.5000 0.0000
Pt3 0.5000 0.0000 0.5000
Ce2 0.0000 0.0000 0.6687
Pt4 0.5000 0.0000 0.8333
Pt5 0.0000 0.5000 0.8333
Pt6 0.0000 0.5000 0.5000
Dy1 0.0000 0.0000 0.0000
Pt7 0.5000 0.0000 0.1667
Pt8 0.5000 0.5000 0.3324
Pt9 0.0000 0.5000 0.1667

Summary:
**ΔE_f**: -98.2 kJ per mole of atoms
**Magnetization**: 0.17 μB per formula unit
**Space group**: P4/mmm, No. 123
**Energy above the most stable polymorph in this dataset**: 0 meV/atom
**E**: -6.920 eV per atom

No. 2
This record from Alexandria via LeMat-Bulk describes a relaxed CeDy3Pt8 crystal. The functional is PBE.

Lattice parameters (Å, degrees): 5.4607 5.4607 8.9229 90.00 90.00 120.00
Fractional coordinates of all 12 atoms:
Ce1 0.0000 0.0000 0.5649
Pt1 0.3333 0.6667 0.5001
Pt2 0.5024 0.4976 0.7509
Pt3 0.1648 0.3296 0.2492
Pt4 0.6704 0.8352 0.2492
Dy1 0.6667 0.3333 0.4314
Pt5 0.3333 0.6667 0.9987
Pt6 0.5024 0.0048 0.7509
Dy2 0.0000 0.0000 0.9400
Pt7 0.9952 0.4976 0.7509
Pt8 0.1648 0.8352 0.2492
Dy3 0.6667 0.3333 0.0646

Summary:
**ΔE_f**: -100.6 kJ per mole of atoms
**Magnetization**: 0.66 μB per formula unit
**Space group**: P3m1, No. 156
**E**: -6.715 eV per atom

No. 3
This record from Alexandria via LeMat-Bulk describes a relaxed CeDy2Pt crystal. The functional is PBE.

Lattice parameters (Å, degrees): 3.8758 3.8758 9.5281 78.26 78.26 60.00
Fractional coordinates of all 4 atoms:
Ce1 0.5017 0.5017 0.4950
Dy1 0.2724 0.2724 0.1828
Pt1 0.6659 0.6659 0.0024
Dy2 0.0600 0.0600 0.8199

Summary:
**ΔE_f**: -42.9 kJ per mole of atoms
**Magnetization**: 1.82 μB per formula unit
**Space group**: R3m, No. 160
**Energy above the most stable polymorph in this dataset**: 114 meV/atom
**E**: -5.739 eV per atom

No. 4
This record from Alexandria via LeMat-Bulk describes a relaxed CeDyPt10 crystal. The functional is PBE.

Lattice parameters (Å, degrees): 4.4601 5.3830 9.2889 90.00 90.00 90.00
Fractional coordinates of all 12 atoms:
Ce1 0.0000 0.0000 0.0000
Pt1 0.5000 0.5000 0.0000
Pt2 0.5000 0.2506 0.7486
Pt3 0.0000 0.0000 0.3339
Pt4 0.0000 0.5000 0.1682
Pt5 0.0000 0.0000 0.6661
Pt6 0.5000 0.7494 0.7486
Dy1 0.0000 0.5000 0.5000
Pt7 0.5000 0.0000 0.5000
Pt8 0.5000 0.7494 0.2514
Pt9 0.5000 0.2506 0.2514
Pt10 0.0000 0.5000 0.8318

Summary:
**ΔE_f**: -68.0 kJ per mole of atoms
**Magnetization**: 0.43 μB per formula unit
**Space group**: Pmmm, No. 47
**E**: -6.617 eV per atom